# PBEsol CaTi2BF, optimized geometry
# - Raw formation energy: -0.133 eV/atom
# - DFT total energy: -28.4 eV per cell
# - Total moment: 0.22 μB/atom
# - Calculated volume: 14.468 A^3/atom
data_CaTi2BF
_cell_length_a 4.084
_cell_length_b 4.084
_cell_length_c 4.337
_cell_angle_alpha 90.00
_cell_angle_beta 90.00
_cell_angle_gamma 90.00
_space_group_name_H-M_alt 'P 1'
_space_group_IT_number 1
loop_
_space_group_symop_operation_xyz
'x,y,z'
loop_
_atom_site_label
_atom_site_type_symbol
_atom_site_fract_x
_atom_site_fract_y
_atom_site_fract_z
_atom_site_occupancy
Ca1 Ca 0.000 0.000 0.500 1
F1 F 0.000 0.000 0.000 1
B1 B 0.500 0.500 0.500 1
Ti1 Ti 0.000 0.500 0.000 1
Ti2 Ti 0.500 0.000 0.000 1


# PBEsol CaFe3B, optimized geometry
# - ΔE to the lowest computed polymorph: 2.631 eV per atom
# - DFT total energy: -21.9 eV per cell
# - Total moment: 1.40 μB/atom
# - Calculated volume: 15.955 A^3/atom
# - Calculated formation energy: 65.27 kcal/mol of atoms
data_CaFe3B
_cell_length_a 4.305
_cell_length_b 4.305
_cell_length_c 4.305
_cell_angle_alpha 90.00
_cell_angle_beta 90.00
_cell_angle_gamma 90.00
_space_group_name_H-M_alt 'P 1'
_space_group_IT_number 1
loop_
_space_group_symop_operation_xyz
'x,y,z'
loop_
_atom_site_label
_atom_site_type_symbol
_atom_site_fract_x
_atom_site_fract_y
_atom_site_fract_z
_atom_site_occupancy
Ca1 Ca 0.000 0.000 0.000 1
B1 B 0.500 0.500 0.500 1
Fe1 Fe 0.000 0.500 0.000 1
Fe2 Fe 0.000 0.000 0.500 1
Fe3 Fe 0.500 0.000 0.000 1


# PBEsol CaFe3B, optimized geometry
# - ΔE to the lowest computed polymorph: 0.000 eV per atom
# - DFT total energy: -35.0 eV per cell
# - Total moment: 0.99 μB/atom
# - Calculated volume: 12.501 A^3/atom
# - Calculated formation energy: 4.60 kcal/mol of atoms
data_CaFe3B
_cell_length_a 3.969
_cell_length_b 3.969
_cell_length_c 3.969
_cell_angle_alpha 90.00
_cell_angle_beta 90.00
_cell_angle_gamma 90.00
_space_group_name_H-M_alt 'P 1'
_space_group_IT_number 1
loop_
_space_group_symop_operation_xyz
'x,y,z'
loop_
_atom_site_label
_atom_site_type_symbol
_atom_site_fract_x
_atom_site_fract_y
_atom_site_fract_z
_atom_site_occupancy
Ca1 Ca 0.500 0.500 0.500 1
B1 B 0.000 0.000 0.000 1
Fe1 Fe 0.000 0.500 0.000 1
Fe2 Fe 0.000 0.000 0.500 1
Fe3 Fe 0.500 0.000 0.000 1


# PBEsol CaGaBO4, optimized geometry
# - Raw formation energy: -2.519 eV/atom
# - DFT total energy: -204.5 eV per cell
# - Total moment: 0.00 μB/atom
# - Calculated volume: 13.377 A^3/atom
data_CaGaBO4
_cell_length_a 5.849
_cell_length_b 8.288
_cell_length_c 8.768
_cell_angle_alpha 118.20
_cell_angle_beta 90.00
_cell_angle_gamma 90.00
_space_group_name_H-M_alt 'P 1'
_space_group_IT_number 1
loop_
_space_group_symop_operation_xyz
'x,y,z'
loop_
_atom_site_label
_atom_site_type_symbol
_atom_site_fract_x
_atom_site_fract_y
_atom_site_fract_z
_atom_site_occupancy
Ca1 Ca 0.900 0.449 0.181 1
Ca2 Ca 0.400 0.733 0.181 1
Ca3 Ca 0.900 0.551 0.819 1
Ca4 Ca 0.400 0.267 0.819 1
Ga1 Ga 0.627 0.225 0.412 1
Ga2 Ga 0.127 0.812 0.588 1
Ga3 Ga 0.127 0.188 0.412 1
Ga4 Ga 0.627 0.775 0.588 1
B1 B 0.859 0.868 0.217 1
B2 B 0.359 0.349 0.217 1
B3 B 0.859 0.132 0.783 1
B4 B 0.359 0.651 0.783 1
O1 O 0.165 0.282 0.259 1
O2 O 0.324 0.429 0.113 1
O3 O 0.882 0.691 0.456 1
O4 O 0.824 0.316 0.887 1
O5 O 0.324 0.571 0.887 1
O6 O 0.078 0.937 0.272 1
O7 O 0.382 0.765 0.456 1
O8 O 0.382 0.235 0.544 1
O9 O 0.578 0.334 0.272 1
O10 O 0.665 0.977 0.259 1
O11 O 0.078 0.063 0.728 1
O12 O 0.882 0.309 0.544 1
O13 O 0.665 0.023 0.741 1
O14 O 0.165 0.718 0.741 1
O15 O 0.824 0.684 0.113 1
O16 O 0.578 0.666 0.728 1


# PBEsol CaGaB2Rh, optimized geometry
# - DFT total energy: -20.7 eV per cell
# - Total moment: 0.00 μB/atom
# - Calculated volume: 16.513 A^3/atom
# - Calculated formation energy: 31.94 kcal/mol of atoms
data_CaGaB2Rh
_cell_length_a 3.987
_cell_length_b 3.987
_cell_length_c 5.194
_cell_angle_alpha 90.00
_cell_angle_beta 90.00
_cell_angle_gamma 90.00
_space_group_name_H-M_alt 'P 1'
_space_group_IT_number 1
loop_
_space_group_symop_operation_xyz
'x,y,z'
loop_
_atom_site_label
_atom_site_type_symbol
_atom_site_fract_x
_atom_site_fract_y
_atom_site_fract_z
_atom_site_occupancy
Ca1 Ca 0.000 0.000 0.500 1
B1 B 0.000 0.500 0.000 1
B2 B 0.500 0.000 0.000 1
Rh1 Rh 0.500 0.500 0.500 1
Ga1 Ga 0.000 0.000 0.000 1


# PBEsol CaGaBRu2, optimized geometry
# - DFT total energy: -32.1 eV per cell
# - Total moment: 0.00 μB/atom
# - Calculated volume: 15.237 A^3/atom
# - Calculated formation energy: 3.19 kcal/mol of atoms
data_CaGaBRu2
_cell_length_a 4.097
_cell_length_b 4.097
_cell_length_c 4.538
_cell_angle_alpha 90.00
_cell_angle_beta 90.00
_cell_angle_gamma 90.00
_space_group_name_H-M_alt 'P 1'
_space_group_IT_number 1
loop_
_space_group_symop_operation_xyz
'x,y,z'
loop_
_atom_site_label
_atom_site_type_symbol
_atom_site_fract_x
_atom_site_fract_y
_atom_site_fract_z
_atom_site_occupancy
Ru1 Ru 0.000 0.500 0.000 1
Ru2 Ru 0.500 0.000 0.000 1
Ca1 Ca 0.000 0.000 0.500 1
B1 B 0.000 0.000 0.000 1
Ga1 Ga 0.500 0.500 0.500 1